Record 1
Density functional theory data (PBE) for an optimized crystal structure of ZrRh2W2.

abc: 4.023 4.023 11.311
angles: 90.00 90.00 90.00
Atoms (fractional coordinates):
Zr1 0.000 0.000 0.000
Zr2 0.500 0.500 0.500
Rh1 0.000 0.500 0.250
Rh2 0.000 0.500 0.750
Rh3 0.500 0.000 0.250
Rh4 0.500 0.000 0.750
W1 0.000 0.000 0.390
W2 0.000 0.000 0.610
W3 0.500 0.500 0.110
W4 0.500 0.500 0.890

Results
**Total moment**: 0.00 Bohr magnetons per cell
**Excess energy over the best structure of this formula in the dataset**: 233.3 meV/atom
**DFT total energy**: -96.6 eV/cell
**Space-group type**: I4/mmm


Record 2
Density functional theory data (PBE) for an optimized crystal structure of KAg4Hg3F12.

abc: 7.656 7.656 7.656
angles: 109.47 109.47 109.47
Atoms (fractional coordinates):
K1 0.000 0.000 0.000
Ag1 0.000 0.000 0.500
Ag2 0.000 0.500 0.000
Ag3 0.500 0.000 0.000
Ag4 0.500 0.500 0.500
Hg1 0.000 0.500 0.500
Hg2 0.500 0.000 0.500
Hg3 0.500 0.500 0.000
F1 0.140 0.313 0.827
F2 0.173 0.487 0.313
F3 0.173 0.860 0.687
F4 0.313 0.173 0.487
F5 0.313 0.827 0.140
F6 0.487 0.313 0.173
F7 0.513 0.687 0.827
F8 0.687 0.173 0.860
F9 0.687 0.827 0.513
F10 0.827 0.140 0.313
F11 0.827 0.513 0.687
F12 0.860 0.687 0.173

Results
**Total moment**: 0.00 Bohr magnetons per cell
**DFT total energy**: -63.3 eV/cell
**Space-group type**: Im-3


Record 3
Density functional theory data (PBE) for an optimized crystal structure of CaSiOs2.

abc: 4.199 4.199 7.302
angles: 90.00 90.00 90.00
Atoms (fractional coordinates):
Ca1 0.000 0.000 0.000
Ca2 0.500 0.500 0.500
Si1 0.000 0.500 0.250
Si2 0.500 0.000 0.750
Os1 0.000 0.000 0.500
Os2 0.000 0.500 0.750
Os3 0.500 0.000 0.250
Os4 0.500 0.500 0.000

Results
**Total moment**: 0.00 Bohr magnetons per cell
**DFT total energy**: -55.5 eV/cell
**Space-group type**: I-4m2


Record 4
Density functional theory data (PBE) for an optimized crystal structure of MnTc2Te.

abc: 5.523 5.523 11.326
angles: 90.00 90.00 90.00
Atoms (fractional coordinates):
Mn1 0.000 0.000 0.000
Mn2 0.000 0.500 0.250
Mn3 0.500 0.000 0.750
Mn4 0.500 0.500 0.500
Tc1 0.192 0.250 0.125
Tc2 0.250 0.692 0.375
Tc3 0.250 0.808 0.875
Tc4 0.308 0.250 0.625
Tc5 0.692 0.750 0.625
Tc6 0.750 0.192 0.875
Tc7 0.750 0.308 0.375
Tc8 0.808 0.750 0.125
Te1 0.000 0.000 0.500
Te2 0.000 0.500 0.750
Te3 0.500 0.000 0.250
Te4 0.500 0.500 0.000

Results
**Total moment**: 0.00 Bohr magnetons per cell
**DFT total energy**: -118.3 eV/cell
**Space-group type**: I-42d


Record 5
Density functional theory data (PBE) for an optimized crystal structure of CoReMo2N.

abc: 4.115 4.115 3.750
angles: 90.00 90.00 90.00
Atoms (fractional coordinates):
Co1 0.000 0.000 0.000
Re1 0.500 0.500 0.000
Mo1 0.000 0.500 0.500
Mo2 0.500 0.000 0.500
N1 0.000 0.000 0.500

Results
**Total moment**: 0.00 Bohr magnetons per cell
**DFT total energy**: -49.7 eV/cell
**Space-group type**: P4/mmm


Record 6
Density functional theory data (PBE) for an optimized crystal structure of Rb4Tb3PuSe8.

abc: 9.394 9.394 9.394
angles: 54.24 54.24 54.24
Atoms (fractional coordinates):
Rb1 0.000 0.000 0.000
Rb2 0.000 0.500 0.500
Rb3 0.500 0.000 0.500
Rb4 0.500 0.500 0.000
Tb1 0.000 0.000 0.500
Tb2 0.000 0.500 0.000
Tb3 0.500 0.000 0.000
Pu1 0.500 0.500 0.500
Se1 0.229 0.733 0.733
Se2 0.232 0.232 0.232
Se3 0.267 0.267 0.771
Se4 0.267 0.771 0.267
Se5 0.733 0.229 0.733
Se6 0.733 0.733 0.229
Se7 0.768 0.768 0.768
Se8 0.771 0.267 0.267

Results
**Total moment**: 5.00 Bohr magnetons per cell
**DFT total energy**: -86.5 eV/cell
**Space-group type**: R-3m


Record 7
Density functional theory data (PBE) for an optimized crystal structure of Ho6Cd5Cu.

abc: 8.234 8.234 7.421
angles: 90.00 90.00 143.21
Atoms (fractional coordinates):
Ho1 0.000 0.000 0.236
Ho2 0.000 0.000 0.764
Ho3 0.340 0.660 0.244
Ho4 0.340 0.660 0.756
Ho5 0.660 0.340 0.244
Ho6 0.660 0.340 0.756
Cd1 0.170 0.830 0.500
Cd2 0.173 0.827 0.000
Cd3 0.500 0.500 0.500
Cd4 0.827 0.173 0.000
Cd5 0.830 0.170 0.500
Cu1 0.500 0.500 0.000

Results
**Total moment**: 0.00 Bohr magnetons per cell
**DFT total energy**: -39.6 eV/cell
**Space-group type**: Cmmm


Record 8
Density functional theory data (PBE) for an optimized crystal structure of Sr2ZrFe.

abc: 3.482 3.940 18.826
angles: 90.00 90.00 90.00
Atoms (fractional coordinates):
Sr1 0.000 0.000 0.156
Sr2 0.000 0.000 0.844
Sr3 0.500 0.500 0.344
Sr4 0.500 0.500 0.656
Zr1 0.000 0.500 0.000
Zr2 0.500 0.000 0.500
Fe1 0.000 0.500 0.500
Fe2 0.500 0.000 0.000

Results
**Total moment**: 1.91 Bohr magnetons per cell
**Excess energy over the best structure of this formula in the dataset**: 104.4 meV/atom
**DFT total energy**: -37.6 eV/cell
**Space-group type**: Immm